4
Lattice="1.9963 1.1526 8.8187 -1.9963 1.1526 8.8187 0.0000 -2.3051 8.8187" Properties=species:S:1:pos:R:3 comment="Sr2MgH, relaxed, DFT PBE" mass_density_g_cm3=2.74 crystal_system=trigonal dos_ef_per_ev_fu=2.59 total_energy_ev_per_atom=-2.127 pbc="T T T"
Sr 0.0000 0.0000 0.0000
Sr 0.0000 0.0000 5.5601
Mg 0.0000 0.0000 11.5819
H 0.0000 0.0000 16.0295

4
Lattice="3.6613 0.0000 0.0000 0.0000 3.6613 0.0000 0.0000 0.0000 8.6672" Properties=species:S:1:pos:R:3 comment="Sr2MgH, relaxed, DFT PBE" mass_density_g_cm3=2.87 crystal_system=tetragonal dos_ef_per_ev_fu=2.59 total_energy_ev_per_atom=-2.010 pbc="T T T"
Sr 0.0000 0.0000 1.8501
Sr 0.0000 0.0000 6.8171
Mg 1.8307 1.8307 4.3336
H 1.8307 1.8307 0.0000

5
Lattice="-2.0651 2.0651 7.3039 2.0651 -2.0651 7.3039 2.0651 2.0651 -7.3039" Properties=species:S:1:pos:R:3 comment="Sr2MgH2, relaxed, DFT PBE" mass_density_g_cm3=2.69 crystal_system=tetragonal dos_ef_per_ev_fu=2.96 total_energy_ev_per_atom=-2.646 pbc="T T T"
Sr 0.0000 0.0000 2.3176
Sr 0.0000 0.0000 12.2902
Mg 0.0000 0.0000 7.3039
H 2.0651 0.0000 3.6519
H 0.0000 2.0651 3.6519

5
Lattice="4.2541 0.0000 0.0000 0.0000 4.2541 0.0000 0.0000 0.0000 7.2442" Properties=species:S:1:pos:R:3 comment="SrMgTcH2, relaxed, DFT PBE" mass_density_g_cm3=2.68 crystal_system=tetragonal dos_ef_per_ev_fu=5.47 total_energy_ev_per_atom=-3.072 pbc="T T T"
Sr 0.0000 0.0000 0.0000
Mg 0.0000 0.0000 3.6221
Tc 2.1270 2.1270 3.6221
H 0.0000 2.1270 0.0000
H 2.1270 0.0000 0.0000

5
Lattice="6.0814 0.0000 0.0000 0.0000 6.0814 0.0000 0.0000 0.0000 3.8821" Properties=species:S:1:pos:R:3 comment="SrMg2TlH, relaxed, DFT PBE" mass_density_g_cm3=3.95 crystal_system=tetragonal dos_ef_per_ev_fu=2.45 total_energy_ev_per_atom=-1.812 pbc="T T T"
Sr 0.0000 0.0000 0.0000
Mg 0.0000 3.0407 1.9411
Mg 3.0407 0.0000 1.9411
Tl 3.0407 3.0407 1.9411
H 3.0407 3.0407 0.0000

5
Lattice="5.4751 0.0000 0.0000 0.0000 5.4751 0.0000 0.0000 0.0000 4.4402" Properties=species:S:1:pos:R:3 comment="Sr2MgTlH, relaxed, DFT PBE" mass_density_g_cm3=5.05 crystal_system=tetragonal dos_ef_per_ev_fu=2.63 total_energy_ev_per_atom=-2.411 pbc="T T T"
Sr 0.0000 2.7375 0.0000
Sr 2.7375 0.0000 0.0000
Mg 0.0000 0.0000 2.2201
Tl 2.7375 2.7375 2.2201
H 0.0000 0.0000 0.0000

5
Lattice="5.4554 0.0000 0.0000 0.0000 5.4554 0.0000 0.0000 0.0000 4.6922" Properties=species:S:1:pos:R:3 comment="Sr2MgTlH, relaxed, DFT PBE" mass_density_g_cm3=4.82 crystal_system=tetragonal dos_ef_per_ev_fu=2.92 total_energy_ev_per_atom=-2.316 pbc="T T T"
Sr 0.0000 2.7277 0.0000
Sr 2.7277 0.0000 0.0000
Mg 0.0000 0.0000 2.3461
Tl 2.7277 2.7277 2.3461
H 2.7277 2.7277 0.0000

5
Lattice="4.7865 0.0000 0.0000 0.0000 4.7865 0.0000 0.0000 0.0000 4.9013" Properties=species:S:1:pos:R:3 comment="SrMg2TlH, relaxed, DFT PBE" mass_density_g_cm3=5.05 crystal_system=tetragonal dos_ef_per_ev_fu=2.40 total_energy_ev_per_atom=-2.258 pbc="T T T"
Sr 0.0000 0.0000 0.0000
Mg 0.0000 2.3933 2.4506
Mg 2.3933 0.0000 2.4506
Tl 2.3933 2.3933 0.0000
H 0.0000 0.0000 2.4506

5
Lattice="4.9864 0.0000 0.0000 0.0000 4.9864 0.0000 0.0000 0.0000 5.3561" Properties=species:S:1:pos:R:3 comment="SrY2MgH, relaxed, DFT PBE" mass_density_g_cm3=3.63 crystal_system=tetragonal dos_ef_per_ev_fu=5.80 total_energy_ev_per_atom=-3.945 pbc="T T T"
Sr 0.0000 0.0000 0.0000
Y 0.0000 2.4932 2.6780
Y 2.4932 0.0000 2.6780
Mg 2.4932 2.4932 0.0000
H 0.0000 0.0000 2.6780

5
Lattice="6.1996 0.0000 0.0000 0.0000 6.1996 0.0000 0.0000 0.0000 4.0343" Properties=species:S:1:pos:R:3 comment="SrYMg2H, relaxed, DFT PBE" mass_density_g_cm3=2.42 crystal_system=tetragonal dos_ef_per_ev_fu=4.90 total_energy_ev_per_atom=-2.473 pbc="T T T"
Sr 0.0000 0.0000 0.0000
Y 3.0998 3.0998 2.0171
Mg 0.0000 3.0998 0.0000
Mg 3.0998 0.0000 0.0000
H 0.0000 0.0000 2.0171

5
Lattice="5.3549 0.0000 0.0000 0.0000 5.3549 0.0000 0.0000 0.0000 4.4204" Properties=species:S:1:pos:R:3 comment="Sr2MgZnH, relaxed, DFT PBE" mass_density_g_cm3=3.48 crystal_system=tetragonal dos_ef_per_ev_fu=2.64 total_energy_ev_per_atom=-2.038 pbc="T T T"
Sr 0.0000 2.6775 0.0000
Sr 2.6775 0.0000 0.0000
Mg 0.0000 0.0000 2.2102
Zn 2.6775 2.6775 2.2102
H 2.6775 2.6775 0.0000

5
Lattice="5.3240 0.0000 0.0000 0.0000 5.3240 0.0000 0.0000 0.0000 4.4288" Properties=species:S:1:pos:R:3 comment="Sr2MgZnH, relaxed, DFT PBE" mass_density_g_cm3=3.52 crystal_system=tetragonal dos_ef_per_ev_fu=1.85 total_energy_ev_per_atom=-2.085 pbc="T T T"
Sr 0.0000 2.6620 0.0000
Sr 2.6620 0.0000 0.0000
Mg 0.0000 0.0000 2.2144
Zn 2.6620 2.6620 2.2144
H 0.0000 0.0000 0.0000